Zn3Ru (PBE, optimized geometry); ρ = 8.8 g cm⁻³; magnetization = 0.00 μB/f.u.; ΔE_f = -0.14 eV/atom
1.0
3.788 0.000 0.000
0.000 3.788 0.000
-1.894 -1.894 7.787
Ru Zn
2 6
Direct
0.617 0.617 0.235 Ru
0.383 0.383 0.765 Ru
0.871 0.871 0.742 Zn
0.750 0.250 0.500 Zn
0.000 0.500 0.000 Zn
0.500 0.000 0.000 Zn
0.129 0.129 0.258 Zn
0.250 0.750 0.500 Zn

***

ZnRu (PBE, optimized geometry); ρ = 9.2 g cm⁻³; magnetization = 0.00 μB/f.u.; ΔE_f = 0.21 eV/atom
1.0
4.314 0.000 0.000
0.000 14.741 0.000
0.000 0.000 7.600
Zn Ru
16 16
Direct
0.000 0.000 0.336 Zn
0.500 0.000 0.164 Zn
0.750 0.750 0.086 Zn
0.750 0.250 0.914 Zn
0.000 0.000 0.664 Zn
0.750 0.250 0.586 Zn
0.250 0.250 0.414 Zn
0.250 0.250 0.086 Zn
0.000 0.500 0.164 Zn
0.250 0.750 0.914 Zn
0.000 0.500 0.836 Zn
0.500 0.000 0.836 Zn
0.500 0.500 0.336 Zn
0.250 0.750 0.586 Zn
0.750 0.750 0.414 Zn
0.500 0.500 0.664 Zn
0.500 0.914 0.500 Ru
0.000 0.586 0.500 Ru
0.750 0.164 0.250 Ru
0.750 0.836 0.750 Ru
0.250 0.836 0.250 Ru
0.250 0.164 0.750 Ru
0.500 0.586 0.000 Ru
0.750 0.664 0.750 Ru
0.250 0.664 0.250 Ru
0.000 0.914 0.000 Ru
0.500 0.086 0.500 Ru
0.000 0.414 0.500 Ru
0.750 0.336 0.250 Ru
0.000 0.086 0.000 Ru
0.250 0.336 0.750 Ru
0.500 0.414 0.000 Ru

***

ZnRu4 (PBE, optimized geometry); ρ = 9.3 g cm⁻³; magnetization = 0.01 μB/f.u.; ΔE_f = 1.39 eV/atom
1.0
-2.758 2.758 2.758
2.758 -2.758 2.758
2.758 2.758 -2.758
Ru Zn
4 1
Direct
0.000 0.000 0.500 Ru
0.500 0.500 0.500 Ru
0.500 0.000 0.000 Ru
0.000 0.500 0.000 Ru
0.000 0.000 0.000 Zn

***

ZnRu (PBE, optimized geometry); ρ = 8.6 g cm⁻³; magnetization = 1.41 μB/f.u.; ΔE_f = 0.69 eV/atom
1.0
3.564 0.000 0.000
1.782 3.087 0.000
1.782 1.029 2.910
Zn Ru
1 1
Direct
0.500 0.500 0.500 Zn
0.000 0.000 0.000 Ru

***

Zn3Ru (PBE, optimized geometry); ρ = 8.8 g cm⁻³; magnetization = 0.00 μB/f.u.; ΔE_f = 0.01 eV/atom
1.0
4.294 0.000 0.000
2.147 3.719 0.000
2.147 1.240 3.506
Zn Ru
3 1
Direct
0.500 0.500 0.500 Zn
0.250 0.250 0.250 Zn
0.750 0.750 0.750 Zn
0.000 0.000 0.000 Ru

***

ZnRu (PBE, optimized geometry); ρ = 7.0 g cm⁻³; magnetization = 1.50 μB/f.u.; ΔE_f = 1.10 eV/atom
1.0
4.271 0.000 0.000
-2.136 3.699 0.000
0.000 0.000 4.979
Ru Zn
2 2
Direct
0.333 0.667 0.750 Ru
0.667 0.333 0.250 Ru
0.667 0.333 0.750 Zn
0.333 0.667 0.250 Zn

***

Copy entry 4 word for word.
ZnRu (PBE, optimized geometry); ρ = 8.6 g cm⁻³; magnetization = 1.41 μB/f.u.; ΔE_f = 0.69 eV/atom
1.0
3.564 0.000 0.000
1.782 3.087 0.000
1.782 1.029 2.910
Zn Ru
1 1
Direct
0.500 0.500 0.500 Zn
0.000 0.000 0.000 Ru

***

- Which formula does entry 2 have?
  ZnRu

***

- Which formula does entry 6 have?
  ZnRu

***

Repeat the fifth record exactly.
Zn3Ru (PBE, optimized geometry); ρ = 8.8 g cm⁻³; magnetization = 0.00 μB/f.u.; ΔE_f = 0.01 eV/atom
1.0
4.294 0.000 0.000
2.147 3.719 0.000
2.147 1.240 3.506
Zn Ru
3 1
Direct
0.500 0.500 0.500 Zn
0.250 0.250 0.250 Zn
0.750 0.750 0.750 Zn
0.000 0.000 0.000 Ru